[1]
Na2Mg2Pb3 after structural relaxation. Source: Alexandria, functional PBE.

ΔE to the lowest computed polymorph   0.40 eV/f.u.

```
data_Na2Mg2Pb3
_chemical_formula_sum 'Na4 Mg4 Pb6'
_symmetry_space_group_name_H-M 'C 1 2/m 1'
_symmetry_Int_Tables_number 12
_symmetry_space_group_name_Hall '-C 2y'
_cell_length_a 11.6800
_cell_length_b 4.7166
_cell_length_c 8.6221
_cell_angle_alpha 90.00
_cell_angle_beta 117.58
_cell_angle_gamma 90.00
loop_
_atom_site_label
_atom_site_fract_x
_atom_site_fract_y
_atom_site_fract_z
_atom_site_occupancy
Na1 0.1488 0.0000 0.2799 1
Mg1 0.1358 0.0000 0.7165 1
Pb1 0.0000 0.5000 0.5000 1
Pb2 0.1183 0.5000 0.9477 1
```



[2]
Na2MgPb2 after structural relaxation. Source: Alexandria, functional PBE.

ΔE to the lowest computed polymorph   0.81 eV/f.u.

```
data_Na2MgPb2
_chemical_formula_sum 'Na4 Mg2 Pb4'
_symmetry_space_group_name_H-M 'I 4/m m m'
_symmetry_Int_Tables_number 139
_symmetry_space_group_name_Hall '-I 4 2'
_cell_length_a 4.4081
_cell_length_b 4.4081
_cell_length_c 15.2232
_cell_angle_alpha 90.00
_cell_angle_beta 90.00
_cell_angle_gamma 90.00
loop_
_atom_site_label
_atom_site_fract_x
_atom_site_fract_y
_atom_site_fract_z
_atom_site_occupancy
Na1 0.0000 0.5000 0.2500 1
Mg1 0.0000 0.0000 0.0000 1
Pb1 0.0000 0.0000 0.4036 1
```



[3]
Na12MgPb6 after structural relaxation. Source: Alexandria, functional PBE.

```
data_Na12MgPb6
_chemical_formula_sum 'Na36 Mg3 Pb18'
_symmetry_space_group_name_H-M 'R -3 m'
_symmetry_Int_Tables_number 166
_symmetry_space_group_name_Hall '-R 3 2"'
_cell_length_a 11.8609
_cell_length_b 11.8609
_cell_length_c 14.4885
_cell_angle_alpha 90.00
_cell_angle_beta 90.00
_cell_angle_gamma 120.00
loop_
_atom_site_label
_atom_site_fract_x
_atom_site_fract_y
_atom_site_fract_z
_atom_site_occupancy
Na1 0.0961 0.1921 0.3017 1
Na2 0.1093 0.2185 0.9103 1
Mg1 0.0000 0.0000 0.5000 1
Pb1 0.0398 0.5199 0.2180 1
```



[4]
Na2MgPb after structural relaxation. Source: Alexandria, functional PBE.

```
data_Na2MgPb
_chemical_formula_sum 'Na8 Mg4 Pb4'
_symmetry_space_group_name_H-M 'C 1 m 1'
_symmetry_Int_Tables_number 8
_symmetry_space_group_name_Hall 'C -2y'
_cell_length_a 11.5733
_cell_length_b 5.0354
_cell_length_c 9.4547
_cell_angle_alpha 90.00
_cell_angle_beta 118.65
_cell_angle_gamma 90.00
loop_
_atom_site_label
_atom_site_fract_x
_atom_site_fract_y
_atom_site_fract_z
_atom_site_occupancy
Na1 0.0000 0.0000 0.0000 1
Na2 0.0007 0.0000 0.4963 1
Na3 0.1207 0.5000 0.8383 1
Na4 0.3772 0.0000 0.1579 1
Mg1 0.2429 0.5000 0.5810 1
Mg2 0.2611 0.0000 0.4202 1
Pb1 0.1964 0.5000 0.2285 1
Pb2 0.3032 0.0000 0.7709 1
```



[5]
NaMg2Pb6 after structural relaxation. Source: Alexandria, functional PBE.

ΔE to the lowest computed polymorph   0.78 eV/f.u.

```
data_NaMg2Pb6
_chemical_formula_sum 'Na2 Mg4 Pb12'
_symmetry_space_group_name_H-M 'I 4/m m m'
_symmetry_Int_Tables_number 139
_symmetry_space_group_name_Hall '-I 4 2'
_cell_length_a 4.9394
_cell_length_b 4.9394
_cell_length_c 23.3420
_cell_angle_alpha 90.00
_cell_angle_beta 90.00
_cell_angle_gamma 90.00
loop_
_atom_site_label
_atom_site_fract_x
_atom_site_fract_y
_atom_site_fract_z
_atom_site_occupancy
Na1 0.0000 0.0000 0.0000 1
Mg1 0.0000 0.0000 0.3291 1
Pb1 0.0000 0.5000 0.0942 1
Pb2 0.0000 0.5000 0.2500 1
```



[6]
Na3MgPb4 after structural relaxation. Source: Alexandria, functional PBE.

ΔE to the lowest computed polymorph   0.00 eV/f.u.

```
data_Na3MgPb4
_chemical_formula_sum 'Na6 Mg2 Pb8'
_symmetry_space_group_name_H-M 'C 1 2/m 1'
_symmetry_Int_Tables_number 12
_symmetry_space_group_name_Hall '-C 2y'
_cell_length_a 18.6405
_cell_length_b 4.9769
_cell_length_c 4.9787
_cell_angle_alpha 90.00
_cell_angle_beta 105.14
_cell_angle_gamma 90.00
loop_
_atom_site_label
_atom_site_fract_x
_atom_site_fract_y
_atom_site_fract_z
_atom_site_occupancy
Na1 0.0000 0.0000 0.0000 1
Na2 0.2497 0.0000 0.2497 1
Mg1 0.0000 0.5000 0.5000 1
Pb1 0.1179 0.0000 0.6172 1
Pb2 0.1179 0.5000 0.1176 1
```



Record-wise volume values, in Å³/cell: 421, 296, 1765, 484, 569, 446
Record-wise total magnetization values, in μB/cell: 0.00, 0.00, 0.00, 0.00, 0.00, 0.00
Record-wise DFT total energy values, in eV/atom: -2.473, -2.271, -2.182, -2.107, -2.922, -2.685